Entry 1:
A plane-wave DFT calculation with PBE was carried out for Sr2PrThP4 after structural relaxation.

Unit cell a=7.413 b=4.269 c=7.462 alpha=90.00 beta=109.36 gamma=90.00
Space group P2/m (No. 10)
Symmetry-distinct sites (fractional):
Sr 0.000 0.000 0.000
Sr 0.500 0.500 0.000
Pr 0.000 0.500 0.500
Th 0.500 0.000 0.500
P 0.248 0.000 0.729
P 0.263 0.500 0.273

Properties
Energy of formation from the pure elements (eV per atom): -1.2525
Crystal system: monoclinic
Energy (eV for the cell shown): -47.22



Entry 2:
A plane-wave DFT calculation with PBE was carried out for SrPr2UP4 after structural relaxation.

Unit cell a=8.312 b=8.331 c=11.823 alpha=90.00 beta=90.00 gamma=90.00
Space group F222 (No. 22)
Symmetry-distinct sites (fractional):
Sr 0.000 0.000 0.000
Pr 0.000 0.000 0.500
Pr 0.250 0.250 0.750
U 0.250 0.250 0.250
P 0.000 0.000 0.255
P 0.250 0.250 0.019

Properties
Energy of formation from the pure elements (eV per atom): -1.2101
Crystal system: orthorhombic
Energy (eV for the cell shown): -215.40



Question: Among the records above, which one has the highest energy?
Answer: Sr2PrThP4



Question: Look up the energy of formation from the pure elements of the second one.
Answer: -1.2101 eV per atom



Question: Which value of energy of formation from the pure elements does entry 1 give?
Answer: -1.2525 eV per atom



Question: energy of number 1 (Sr2PrThP4)?
Answer: -47.22 eV for the cell shown